# 1
# Li2FeP2HO8 (meta-GGA SCAN, PBEsol geometry)
data_Li2FeP2HO8
_chemical_formula_sum 'Li4 Fe2 P4 H2 O16'
_cell_length_a 4.758
_cell_length_b 7.793
_cell_length_c 7.682
_cell_angle_alpha 90.00
_cell_angle_beta 112.88
_cell_angle_gamma 90.00
_space_group_name_H-M_alt 'P 1'
_space_group_IT_number 1
loop_
_space_group_symop_operation_xyz
'x,y,z'
loop_
_atom_site_label
_atom_site_type_symbol
_atom_site_fract_x
_atom_site_fract_y
_atom_site_fract_z
Li1 Li 0.042 0.135 0.158
Li2 Li 0.042 0.365 0.658
Li3 Li 0.958 0.635 0.342
Li4 Li 0.958 0.865 0.842
Fe1 Fe 0.000 0.000 0.500
Fe2 Fe 0.000 0.500 0.000
P1 P 0.371 0.654 0.740
P2 P 0.371 0.846 0.240
P3 P 0.629 0.154 0.760
P4 P 0.629 0.346 0.260
H1 H 0.500 0.000 0.000
H2 H 0.500 0.500 0.500
O1 O 0.214 0.670 0.192
O2 O 0.214 0.830 0.692
O3 O 0.221 0.542 0.846
O4 O 0.221 0.958 0.346
O5 O 0.284 0.176 0.639
O6 O 0.284 0.324 0.139
O7 O 0.313 0.556 0.554
O8 O 0.313 0.944 0.054
O9 O 0.687 0.056 0.946
O10 O 0.687 0.444 0.446
O11 O 0.716 0.676 0.861
O12 O 0.716 0.824 0.361
O13 O 0.779 0.042 0.654
O14 O 0.779 0.458 0.154
O15 O 0.786 0.170 0.308
O16 O 0.786 0.330 0.808
# Size of the total moment in μB/f.u.: 1.0
# VASP energy in eV per cell: -255.76

# 2
# Li2Fe2P4H3O16 (meta-GGA SCAN, PBEsol geometry)
data_Li2Fe2P4H3O16
_chemical_formula_sum 'Li2 Fe2 P4 H3 O16'
_cell_length_a 4.921
_cell_length_b 7.154
_cell_length_c 7.988
_cell_angle_alpha 90.01
_cell_angle_beta 92.13
_cell_angle_gamma 102.88
_space_group_name_H-M_alt 'P 1'
_space_group_IT_number 1
loop_
_space_group_symop_operation_xyz
'x,y,z'
loop_
_atom_site_label
_atom_site_type_symbol
_atom_site_fract_x
_atom_site_fract_y
_atom_site_fract_z
Li1 Li 0.000 0.000 0.000
Li2 Li 0.279 0.346 0.691
Fe1 Fe 0.140 0.173 0.345
Fe2 Fe 0.640 0.671 0.847
P1 P 0.012 0.412 0.996
P2 P 0.269 0.930 0.695
P3 P 0.516 0.905 0.184
P4 P 0.764 0.440 0.507
H1 H 0.295 0.593 0.237
H2 H 0.629 0.168 0.841
H3 H 0.985 0.752 0.455
O1 O 0.030 0.847 0.809
O2 O 0.122 0.391 0.178
O3 O 0.160 0.955 0.515
O4 O 0.253 0.498 0.883
O5 O 0.298 0.029 0.166
O6 O 0.405 0.722 0.284
O7 O 0.421 0.129 0.766
O8 O 0.477 0.794 0.682
O9 O 0.498 0.325 0.421
O10 O 0.592 0.853 0.004
O11 O 0.690 0.492 0.688
O12 O 0.783 0.020 0.271
O13 O 0.807 0.551 0.010
O14 O 0.861 0.216 0.924
O15 O 0.875 0.623 0.407
O16 O 0.983 0.317 0.525
# Size of the total moment in μB/f.u.: 9.0
# VASP energy in eV per cell: -248.09

# 3
# LiFeH12S2O14 (meta-GGA SCAN, PBEsol geometry)
data_LiFeH12S2O14
_chemical_formula_sum 'Li2 Fe2 H24 S4 O28'
_cell_length_a 5.692
_cell_length_b 11.925
_cell_length_c 8.664
_cell_angle_alpha 90.00
_cell_angle_beta 106.20
_cell_angle_gamma 90.00
_space_group_name_H-M_alt 'P 1'
_space_group_IT_number 1
loop_
_space_group_symop_operation_xyz
'x,y,z'
loop_
_atom_site_label
_atom_site_type_symbol
_atom_site_fract_x
_atom_site_fract_y
_atom_site_fract_z
Li1 Li 0.189 0.000 0.197
Li2 Li 0.811 0.500 0.803
Fe1 Fe 0.477 0.422 0.243
Fe2 Fe 0.523 0.922 0.757
H1 H 0.134 0.343 0.027
H2 H 0.151 0.484 0.357
H3 H 0.154 0.571 0.211
H4 H 0.170 0.785 0.699
H5 H 0.175 0.004 0.541
H6 H 0.188 0.864 0.865
H7 H 0.383 0.528 0.982
H8 H 0.388 0.302 0.988
H9 H 0.428 0.034 0.495
H10 H 0.446 0.233 0.354
H11 H 0.470 0.819 0.494
H12 H 0.475 0.111 0.876
H13 H 0.525 0.611 0.124
H14 H 0.530 0.319 0.506
H15 H 0.554 0.733 0.646
H16 H 0.572 0.534 0.505
H17 H 0.612 0.802 0.012
H18 H 0.617 0.028 0.018
H19 H 0.812 0.364 0.135
H20 H 0.825 0.504 0.459
H21 H 0.830 0.285 0.301
H22 H 0.846 0.071 0.789
H23 H 0.849 0.984 0.643
H24 H 0.866 0.843 0.973
S1 S 0.219 0.571 0.659
S2 S 0.265 0.785 0.171
S3 S 0.735 0.285 0.829
S4 S 0.781 0.071 0.341
O1 O 0.094 0.692 0.162
O2 O 0.102 0.680 0.608
O3 O 0.114 0.486 0.533
O4 O 0.147 0.871 0.042
O5 O 0.168 0.534 0.812
O6 O 0.181 0.489 0.247
O7 O 0.224 0.860 0.758
O8 O 0.311 0.850 0.322
O9 O 0.312 0.323 0.077
O10 O 0.357 0.021 0.587
O11 O 0.427 0.311 0.390
O12 O 0.483 0.030 0.913
O13 O 0.491 0.580 0.683
O14 O 0.497 0.746 0.143
O15 O 0.503 0.246 0.857
O16 O 0.509 0.080 0.317
O17 O 0.517 0.530 0.087
O18 O 0.573 0.811 0.610
O19 O 0.643 0.521 0.413
O20 O 0.688 0.823 0.923
O21 O 0.689 0.350 0.678
O22 O 0.776 0.360 0.242
O23 O 0.819 0.989 0.753
O24 O 0.832 0.034 0.188
O25 O 0.853 0.371 0.958
O26 O 0.886 0.986 0.467
O27 O 0.898 0.180 0.392
O28 O 0.906 0.192 0.838
# Size of the total moment in μB/f.u.: 1.0
# VASP energy in eV per cell: -415.79

# 4
# Mg2FeH6 (meta-GGA SCAN, PBEsol geometry)
data_Mg2FeH6
_chemical_formula_sum 'Mg2 Fe1 H6'
_cell_length_a 4.481
_cell_length_b 4.481
_cell_length_c 4.481
_cell_angle_alpha 60.00
_cell_angle_beta 60.00
_cell_angle_gamma 60.00
_space_group_name_H-M_alt 'P 1'
_space_group_IT_number 1
loop_
_space_group_symop_operation_xyz
'x,y,z'
loop_
_atom_site_label
_atom_site_type_symbol
_atom_site_fract_x
_atom_site_fract_y
_atom_site_fract_z
Mg1 Mg 0.250 0.250 0.250
Mg2 Mg 0.750 0.750 0.750
Fe1 Fe 0.000 0.000 0.000
H1 H 0.244 0.244 0.756
H2 H 0.244 0.756 0.244
H3 H 0.244 0.756 0.756
H4 H 0.756 0.244 0.244
H5 H 0.756 0.244 0.756
H6 H 0.756 0.756 0.244
# Size of the total moment in μB/f.u.: 0.1
# VASP energy in eV per cell: -52.11

# 5
# MgFe2P2H18O18 (meta-GGA SCAN, PBEsol geometry)
data_MgFe2P2H18O18
_chemical_formula_sum 'Mg1 Fe2 P2 H18 O18'
_cell_length_a 5.233
_cell_length_b 6.868
_cell_length_c 10.063
_cell_angle_alpha 97.34
_cell_angle_beta 101.84
_cell_angle_gamma 110.29
_space_group_name_H-M_alt 'P 1'
_space_group_IT_number 1
loop_
_space_group_symop_operation_xyz
'x,y,z'
loop_
_atom_site_label
_atom_site_type_symbol
_atom_site_fract_x
_atom_site_fract_y
_atom_site_fract_z
Mg1 Mg 0.000 0.000 0.000
Fe1 Fe 0.500 0.000 0.500
Fe2 Fe 0.500 0.500 0.500
P1 P 0.015 0.922 0.665
P2 P 0.985 0.078 0.335
H1 H 0.084 0.654 0.812
H2 H 0.089 0.583 0.277
H3 H 0.160 0.674 0.518
H4 H 0.175 0.397 0.939
H5 H 0.312 0.950 0.208
H6 H 0.318 0.501 0.722
H7 H 0.319 0.414 0.099
H8 H 0.402 0.304 0.673
H9 H 0.456 0.993 0.876
H10 H 0.544 0.007 0.124
H11 H 0.598 0.696 0.327
H12 H 0.681 0.586 0.901
H13 H 0.682 0.499 0.278
H14 H 0.688 0.050 0.792
H15 H 0.825 0.603 0.061
H16 H 0.840 0.326 0.482
H17 H 0.911 0.417 0.723
H18 H 0.916 0.346 0.188
O1 O 0.087 0.507 0.796
O2 O 0.093 0.900 0.817
O3 O 0.115 0.299 0.436
O4 O 0.189 0.959 0.346
O5 O 0.238 0.318 0.007
O6 O 0.291 0.054 0.629
O7 O 0.336 0.955 0.112
O8 O 0.347 0.708 0.494
O9 O 0.474 0.467 0.688
O10 O 0.526 0.533 0.312
O11 O 0.653 0.292 0.506
O12 O 0.664 0.045 0.888
O13 O 0.709 0.946 0.371
O14 O 0.762 0.682 0.993
O15 O 0.811 0.041 0.654
O16 O 0.885 0.701 0.564
O17 O 0.907 0.100 0.183
O18 O 0.913 0.493 0.204
# Size of the total moment in μB/f.u.: 2.0
# VASP energy in eV per cell: -297.28

# 6
# MgTlFe2H (meta-GGA SCAN, PBEsol geometry)
data_MgTlFe2H
_chemical_formula_sum 'Mg1 Tl1 Fe2 H1'
_cell_length_a 4.685
_cell_length_b 4.685
_cell_length_c 5.371
_cell_angle_alpha 90.00
_cell_angle_beta 90.00
_cell_angle_gamma 90.00
_space_group_name_H-M_alt 'P 1'
_space_group_IT_number 1
loop_
_space_group_symop_operation_xyz
'x,y,z'
loop_
_atom_site_label
_atom_site_type_symbol
_atom_site_fract_x
_atom_site_fract_y
_atom_site_fract_z
Mg1 Mg 0.000 0.000 0.000
Tl1 Tl 0.000 0.000 0.500
Fe1 Fe 0.000 0.500 0.000
Fe2 Fe 0.500 0.000 0.000
H1 H 0.500 0.500 0.500
# Size of the total moment in μB/f.u.: 7.0
# VASP energy in eV per cell: -108.77

# 7
# MgZnFe2H (meta-GGA SCAN, PBEsol geometry)
data_MgZnFe2H
_chemical_formula_sum 'Mg1 Zn1 Fe2 H1'
_cell_length_a 3.652
_cell_length_b 3.652
_cell_length_c 4.089
_cell_angle_alpha 90.00
_cell_angle_beta 90.00
_cell_angle_gamma 90.00
_space_group_name_H-M_alt 'P 1'
_space_group_IT_number 1
loop_
_space_group_symop_operation_xyz
'x,y,z'
loop_
_atom_site_label
_atom_site_type_symbol
_atom_site_fract_x
_atom_site_fract_y
_atom_site_fract_z
Mg1 Mg 0.000 0.000 0.000
Zn1 Zn 0.500 0.500 0.000
Fe1 Fe 0.000 0.500 0.500
Fe2 Fe 0.500 0.000 0.500
H1 H 0.500 0.500 0.500
# Size of the total moment in μB/f.u.: 4.8
# VASP energy in eV per cell: -57.69

# 8
# MnFeH3 (meta-GGA SCAN, PBEsol geometry)
data_MnFeH3
_chemical_formula_sum 'Mn1 Fe1 H3'
_cell_length_a 3.190
_cell_length_b 3.190
_cell_length_c 3.190
_cell_angle_alpha 90.00
_cell_angle_beta 90.00
_cell_angle_gamma 90.00
_space_group_name_H-M_alt 'P 1'
_space_group_IT_number 1
loop_
_space_group_symop_operation_xyz
'x,y,z'
loop_
_atom_site_label
_atom_site_type_symbol
_atom_site_fract_x
_atom_site_fract_y
_atom_site_fract_z
Mn1 Mn 0.000 0.000 0.000
Fe1 Fe 0.500 0.500 0.500
H1 H 0.000 0.000 0.500
H2 H 0.000 0.500 0.000
H3 H 0.500 0.000 0.000
# Size of the total moment in μB/f.u.: 5.5
# VASP energy in eV per cell: -45.89

# 9
# MnFe3H (meta-GGA SCAN, PBEsol geometry)
data_MnFe3H
_chemical_formula_sum 'Mn1 Fe3 H1'
_cell_length_a 3.507
_cell_length_b 3.507
_cell_length_c 3.507
_cell_angle_alpha 90.00
_cell_angle_beta 90.00
_cell_angle_gamma 90.00
_space_group_name_H-M_alt 'P 1'
_space_group_IT_number 1
loop_
_space_group_symop_operation_xyz
'x,y,z'
loop_
_atom_site_label
_atom_site_type_symbol
_atom_site_fract_x
_atom_site_fract_y
_atom_site_fract_z
Mn1 Mn 0.000 0.000 0.000
Fe1 Fe 0.000 0.500 0.500
Fe2 Fe 0.500 0.000 0.500
Fe3 Fe 0.500 0.500 0.000
H1 H 0.500 0.500 0.500
# Size of the total moment in μB/f.u.: 1.9
# VASP energy in eV per cell: -76.10

# 10
# MnFeH2 (meta-GGA SCAN, PBEsol geometry)
data_MnFeH2
_chemical_formula_sum 'Mn1 Fe1 H2'
_cell_length_a 3.420
_cell_length_b 3.420
_cell_length_c 3.420
_cell_angle_alpha 60.00
_cell_angle_beta 60.00
_cell_angle_gamma 60.00
_space_group_name_H-M_alt 'P 1'
_space_group_IT_number 1
loop_
_space_group_symop_operation_xyz
'x,y,z'
loop_
_atom_site_label
_atom_site_type_symbol
_atom_site_fract_x
_atom_site_fract_y
_atom_site_fract_z
Mn1 Mn 0.000 0.000 0.000
Fe1 Fe 0.500 0.500 0.500
H1 H 0.250 0.250 0.250
H2 H 0.750 0.750 0.750
# Size of the total moment in μB/f.u.: 5.6
# VASP energy in eV per cell: -41.70

# 11
# MnFeHS2 (meta-GGA SCAN, PBEsol geometry)
data_MnFeHS2
_chemical_formula_sum 'Mn1 Fe1 H1 S2'
_cell_length_a 4.457
_cell_length_b 4.457
_cell_length_c 3.154
_cell_angle_alpha 90.00
_cell_angle_beta 90.00
_cell_angle_gamma 90.00
_space_group_name_H-M_alt 'P 1'
_space_group_IT_number 1
loop_
_space_group_symop_operation_xyz
'x,y,z'
loop_
_atom_site_label
_atom_site_type_symbol
_atom_site_fract_x
_atom_site_fract_y
_atom_site_fract_z
Mn1 Mn 0.000 0.000 0.000
Fe1 Fe 0.500 0.500 0.500
H1 H 0.000 0.000 0.500
S1 S 0.000 0.500 0.000
S2 S 0.500 0.000 0.000
# Size of the total moment in μB/f.u.: 7.2
# VASP energy in eV per cell: -59.33

# 12
# MnFeSi2H (meta-GGA SCAN, PBEsol geometry)
data_MnFeSi2H
_chemical_formula_sum 'Mn1 Fe1 Si2 H1'
_cell_length_a 4.253
_cell_length_b 4.253
_cell_length_c 4.434
_cell_angle_alpha 90.00
_cell_angle_beta 90.00
_cell_angle_gamma 90.00
_space_group_name_H-M_alt 'P 1'
_space_group_IT_number 1
loop_
_space_group_symop_operation_xyz
'x,y,z'
loop_
_atom_site_label
_atom_site_type_symbol
_atom_site_fract_x
_atom_site_fract_y
_atom_site_fract_z
Mn1 Mn 0.000 0.000 0.000
Fe1 Fe 0.000 0.000 0.500
Si1 Si 0.000 0.500 0.000
Si2 Si 0.500 0.000 0.000
H1 H 0.500 0.500 0.500
# Size of the total moment in μB/f.u.: 5.6
# VASP energy in eV per cell: -54.92